# 1
{
  "formula": "Ce3B2N4",
  "functional": "PBE-GGA",
  "state": "optimized geometry",
  "lattice": [[-3.046, -3.143, -4.633], [3.999, -1.973, -4.553], [-1.871, -0.373, 6.081]],
  "species": ["Ce", "Ce", "Ce", "B", "B", "N", "N", "N", "N"],
  "frac_coords": [[0.697, 0.197, 0.500], [0.303, 0.803, 0.500], [0.000, 0.000, 0.000], [0.357, 0.500, 0.857], [0.643, 0.500, 0.143], [0.361, 0.622, 0.739], [0.884, 0.622, 0.261], [0.116, 0.378, 0.739], [0.639, 0.378, 0.261]],
  "formation_energy_uncorrected_ev_per_atom": -1.394
}

---

# 2
{
  "formula": "PrDy2Ho6",
  "functional": "PBE-GGA",
  "state": "optimized geometry",
  "lattice": [[-1.771, 1.778, 2.405], [0.025, -4.501, 3.351], [14.256, 9.445, -1.515]],
  "species": ["Pr", "Dy", "Dy", "Ho", "Ho", "Ho", "Ho", "Ho", "Ho"],
  "frac_coords": [[0.500, 0.500, 0.500], [0.835, 0.501, 0.834], [0.165, 0.499, 0.166], [0.446, 0.169, 0.946], [0.554, 0.831, 0.054], [0.773, 0.162, 0.274], [0.113, 0.170, 0.613], [0.227, 0.838, 0.726], [0.887, 0.830, 0.387]],
  "relative_energy_kj_per_mol_fu": 0,
  "e_form_kj_per_mol_fu": 62
}